No. 1
VASP calculation (PBE-GGA) on LiRuI2O after structural relaxation.

It has space group P4/mmm (No. 123), with a = 5.625 Å, b = 5.625 Å, c = 3.767 Å, α = 90.00°, β = 90.00° and γ = 90.00°. The distinct sites, in fractional coordinates, are Li at (0.000, 0.000, 0.000), Ru at (0.500, 0.500, 0.500), I at (0.000, 0.500, 0.500) and O at (0.500, 0.500, 0.000).

The total energy is -4.3477 eV per atom. Its magnetization is 0.3 μB per formula unit. Its raw formation energy is -0.498 eV per atom. The excess energy over the best structure of this formula in the dataset is 0 meV/atom. The value obtained for the density of states at the Fermi level is 0.60 states/eV/atom.

=====

No. 2
VASP calculation (PBE-GGA) on Dy3PuBi4 after structural relaxation.

It has space group Cmmm (No. 65), with a = 8.993 Å, b = 12.702 Å, c = 4.495 Å, α = 90.00°, β = 90.00° and γ = 90.00°. The distinct sites, in fractional coordinates, are Dy at (0.000, 0.000, 0.000), Dy at (0.250, 0.250, 0.500), Pu at (0.000, 0.500, 0.000), Bi at (0.000, 0.249, 0.000) and Bi at (0.248, 0.000, 0.500).

As for the formation energy: -720 meV/atom. The total energy is -6.1774 eV per atom. Its magnetization is 5.2 μB per formula unit. The excess energy over the best structure of this formula in the dataset is 0 meV/atom. The value obtained for the density of states at the Fermi level is 2.16 states/eV/atom.

=====

No. 3
VASP calculation (PBE-GGA) on La2Si3Pd4Au after structural relaxation.

It has space group P-4m2 (No. 115), with a = 4.331 Å, b = 4.331 Å, c = 10.310 Å, α = 90.00°, β = 90.00° and γ = 90.00°. The distinct sites, in fractional coordinates, are La at (0.000, 0.500, 0.245), Si at (0.000, 0.000, 0.000), Si at (0.000, 0.500, 0.618), Pd at (0.000, 0.000, 0.500), Pd at (0.000, 0.500, 0.848), Pd at (0.500, 0.500, 0.500) and Au at (0.500, 0.500, 0.000).

The total energy is -5.8360 eV per atom. Its magnetization is 0.0 μB per formula unit. Its raw formation energy is -0.819 eV per atom. The value obtained for the density of states at the Fermi level is 0.56 states/eV/atom.

=====

No. 4
VASP calculation (PBE-GGA) on TlTePd3Se after structural relaxation.

It has space group Cmcm (No. 63), with a = 5.849 Å, b = 16.653 Å, c = 5.815 Å, α = 90.00°, β = 90.00° and γ = 90.00°. The distinct sites, in fractional coordinates, are Tl at (0.000, 0.249, 0.250), Te at (0.000, 0.400, 0.750), Pd at (0.000, 0.243, 0.750), Pd at (0.245, 0.000, 0.000) and Se at (0.000, 0.095, 0.750).

The total energy is -4.3260 eV per atom. Its magnetization is 0.0 μB per formula unit. Its raw formation energy is -0.231 eV per atom. The value obtained for the density of states at the Fermi level is 0.79 states/eV/atom.